DFT (GGA-PBE) results for a relaxed CaGdErTm crystal.

Results
* size of the total moment: 7.67 μB per formula unit
* N(E_F): 7.37 states/eV per cell
* volume: 33.0 Å³/atom
* energy: -24.46 eV/cell

Cell lengths 5.714, 5.714, 5.714 Å; angles 60.00, 60.00, 60.00 degrees
Each line ends with the local moment (μB).
Positions (direct):
Ca (0.250, 0.250, 0.250)  0.01
Er (0.750, 0.750, 0.750)  0.07
Gd (0.500, 0.500, 0.500)  7.19
Tm (0.000, 0.000, 0.000)  0.05